# TaSe2N2

An optimized crystal structure of TaSe2N2 (PBE, Alexandria).

a b c (Å): 4.0888 4.0888 4.0570
angles (deg): 90.00 90.00 90.00
With the nearest neighbours (Å) after each atom.
Positions (direct):
Ta1 0.0000 0.0000 0.0000  8 Se 2.88, 4 N 2.89
Se1 0.0000 0.5000 0.5000  2 N 2.04
Se2 0.5000 0.0000 0.5000  2 N 2.04
N1 0.5000 0.5000 0.0000  2 N 2.03
N2 0.5000 0.5000 0.5000  2 N 2.03, 4 Se 2.04

Calculated values
distance to the lowest polymorph of the same formula = 5.46 eV per formula unit
energy = -5.620 eV per atom
D(E_F) = 0.602 states/eV/atom
space group = P4/mmm
magnetic moment = 0.00 μB/f.u.
energy relative to the elements, uncorrected = 1.474 eV per atom